4
Lattice="-1.8287 2.2430 -1.9738 1.7863 -1.0357 -2.8298 -4.8769 -5.0565 -1.2278" Properties=species:S:1:pos:R:3 comment="LaSiAg2, relaxed, DFT GGA-PBE" crystal_system=tetragonal n_ef_per_ev_atom=0.9080 total_energy_ev_per_cell=-15.77 formation_energy_uncorrected_ev_per_atom=0.07 pbc="T T T"
Ag -4.6316 -4.8021 -1.1661
Ag -2.6838 -2.7826 -0.6757
Si -3.6789 -3.1887 -3.3227
La -1.2404 -0.6604 -2.7087